Record 1
Below is a geometry-optimized Lu4GaPN2 structure, with properties calculated at the PBE level.

The structure in CIF format:
```
data_Lu4GaPN2
_space_group_name_H-M_alt 'P -6 m 2'
_space_group_IT_number 187
_space_group_name_Hall 'P -6 2'
_cell_length_a 3.4924
_cell_length_b 3.4924
_cell_length_c 13.3137
_cell_angle_alpha 90.00
_cell_angle_beta 90.00
_cell_angle_gamma 120.00
loop_
_atom_site_label
_atom_site_type_symbol
_atom_site_fract_x
_atom_site_fract_y
_atom_site_fract_z
Lu1 Lu 0.0000 0.0000 0.1352
Lu2 Lu 0.6667 0.3333 0.3315
Ga1 Ga 0.0000 0.0000 0.5000
P1 P 0.6667 0.3333 0.0000
N1 N 0.3333 0.6667 0.2359
```

## Properties
Calculated volume, A^3/atom: 17.579
ρ, Mg/m³: 9.784
Uncorrected energy, eV per atom: -6.692

---

Record 2
Below is a geometry-optimized NdCuSi2Ni structure, with properties calculated at the PBE level.

The structure in CIF format:
```
data_NdCuSi2Ni
_space_group_name_H-M_alt 'I -4 m 2'
_space_group_IT_number 119
_space_group_name_Hall 'I -4 -2'
_cell_length_a 4.067
_cell_length_b 4.067
_cell_length_c 9.735
_cell_angle_alpha 90.00
_cell_angle_beta 90.00
_cell_angle_gamma 90.00
loop_
_atom_site_label
_atom_site_type_symbol
_atom_site_fract_x
_atom_site_fract_y
_atom_site_fract_z
Nd1 Nd 0.000 0.000 0.000
Cu1 Cu 0.000 0.500 0.750
Si1 Si 0.000 0.000 0.375
Ni1 Ni 0.000 0.500 0.250
```

## Properties
Calculated volume, A^3/atom: 16.100
ρ, Mg/m³: 6.656
Uncorrected energy, eV per atom: -5.676

---

Record 3
Below is a geometry-optimized DyMgTe3Au structure, with properties calculated at the PBE level.

The structure in CIF format:
```
data_DyMgTe3Au
_space_group_name_H-M_alt 'P n m a'
_space_group_IT_number 62
_space_group_name_Hall '-P 2ac 2n'
_cell_length_a 13.443
_cell_length_b 4.124
_cell_length_c 12.358
_cell_angle_alpha 90.00
_cell_angle_beta 90.00
_cell_angle_gamma 90.00
loop_
_atom_site_label
_atom_site_type_symbol
_atom_site_fract_x
_atom_site_fract_y
_atom_site_fract_z
Dy1 Dy 0.066 0.250 0.183
Mg1 Mg 0.222 0.250 0.464
Te1 Te 0.054 0.750 0.367
Te2 Te 0.081 0.250 0.921
Te3 Te 0.212 0.750 0.640
Au1 Au 0.248 0.750 0.307
```

## Properties
Calculated volume, A^3/atom: 28.546
ρ, Mg/m³: 7.432
Energy above the most stable polymorph in this dataset, meV per atom: 41
Uncorrected energy, eV per atom: -3.905

---

Record 4
Below is a geometry-optimized AcLaY structure, with properties calculated at the PBE level.

The structure in CIF format:
```
data_AcLaY
_space_group_name_H-M_alt 'F -4 3 m'
_space_group_IT_number 216
_space_group_name_Hall 'F -4 2 3'
_cell_length_a 8.136
_cell_length_b 8.136
_cell_length_c 8.136
_cell_angle_alpha 90.00
_cell_angle_beta 90.00
_cell_angle_gamma 90.00
loop_
_atom_site_label
_atom_site_type_symbol
_atom_site_fract_x
_atom_site_fract_y
_atom_site_fract_z
Ac1 Ac 0.000 0.000 0.000
La1 La 0.000 0.000 0.500
Y1 Y 0.250 0.250 0.250
```

## Properties
Calculated volume, A^3/atom: 44.873
ρ, Mg/m³: 5.610
Energy above the most stable polymorph in this dataset, meV per atom: 0
Uncorrected energy, eV per atom: -4.526
Energy of formation from the pure elements, meV/atom: 638